No. 1
{"formula": "EuDyTi2O7", "functional": "meta-GGA SCAN", "state": "single point on PBEsol structure", "lattice_angstrom": [[-3.564, 3.587, 5.061], [3.564, -3.587, 5.061], [3.564, 3.587, -5.061]], "species": ["Eu", "Eu", "Dy", "Dy", "Ti", "Ti", "Ti", "Ti", "O", "O", "O", "O", "O", "O", "O", "O", "O", "O", "O", "O", "O", "O"], "fractional_positions": [[0.500, 0.000, 0.000], [0.500, 0.500, 0.500], [0.000, 0.000, 0.000], [0.500, 0.000, 0.500], [0.000, 0.000, 0.500], [0.000, 0.500, 0.000], [0.000, 0.500, 0.500], [0.500, 0.500, 0.000], [0.076, 0.418, 0.247], [0.076, 0.829, 0.658], [0.079, 0.829, 0.250], [0.328, 0.578, 0.750], [0.329, 0.171, 0.747], [0.329, 0.582, 0.158], [0.370, 0.120, 0.250], [0.630, 0.880, 0.750], [0.671, 0.418, 0.842], [0.671, 0.829, 0.253], [0.672, 0.422, 0.250], [0.921, 0.171, 0.750], [0.924, 0.171, 0.342], [0.924, 0.582, 0.753]], "e_tot_ev_per_atom": -19.584, "crystal_system": "orthorhombic"}


No. 2
{"formula": "YSe", "functional": "meta-GGA SCAN", "state": "single point on PBEsol structure", "lattice_angstrom": [[4.088, 0.000, 0.000], [-2.044, 3.540, 0.000], [0.000, 0.000, 8.370]], "species": ["Y", "Y", "Se", "Se"], "fractional_positions": [[0.333, 0.667, 0.000], [0.667, 0.333, 0.500], [0.333, 0.667, 0.326], [0.667, 0.333, 0.826]], "e_tot_ev_per_atom": -25.497, "dos_ef_per_ev_fu": 0.50, "crystal_system": "hexagonal"}


No. 3
{"formula": "K2NaCoC6N6", "functional": "meta-GGA SCAN", "state": "single point on PBEsol structure", "lattice_angstrom": [[7.004, 0.000, 0.000], [0.000, 7.467, 0.000], [-6.774, 0.000, 10.218]], "species": ["K", "K", "K", "K", "Na", "Na", "Co", "Co", "C", "C", "C", "C", "C", "C", "C", "C", "C", "C", "C", "C", "N", "N", "N", "N", "N", "N", "N", "N", "N", "N", "N", "N"], "fractional_positions": [[0.217, 0.078, 0.245], [0.217, 0.422, 0.745], [0.783, 0.578, 0.255], [0.783, 0.922, 0.755], [0.000, 0.000, 0.500], [0.000, 0.500, 0.000], [0.500, 0.000, 0.000], [0.500, 0.500, 0.500], [0.247, 0.131, 0.962], [0.247, 0.369, 0.462], [0.324, 0.706, 0.450], [0.324, 0.794, 0.950], [0.418, 0.029, 0.830], [0.418, 0.471, 0.330], [0.582, 0.529, 0.670], [0.582, 0.971, 0.170], [0.676, 0.206, 0.050], [0.676, 0.294, 0.550], [0.753, 0.631, 0.538], [0.753, 0.869, 0.038], [0.082, 0.212, 0.936], [0.082, 0.288, 0.436], [0.206, 0.667, 0.917], [0.206, 0.833, 0.417], [0.363, 0.050, 0.721], [0.363, 0.450, 0.221], [0.637, 0.550, 0.779], [0.637, 0.950, 0.279], [0.794, 0.167, 0.583], [0.794, 0.333, 0.083], [0.918, 0.712, 0.564], [0.918, 0.788, 0.064]], "e_tot_ev_per_atom": -9.882, "dos_ef_per_ev_fu": 0.00, "crystal_system": "monoclinic"}


No. 4
{"formula": "RbIn2GaSn", "functional": "meta-GGA SCAN", "state": "single point on PBEsol structure", "lattice_angstrom": [[5.295, 0.000, 0.000], [0.000, 5.295, 0.000], [0.000, 0.000, 5.818]], "species": ["Rb", "In", "In", "Ga", "Sn"], "fractional_positions": [[0.000, 0.000, 0.000], [0.000, 0.500, 0.500], [0.500, 0.000, 0.500], [0.000, 0.000, 0.500], [0.500, 0.500, 0.000]], "formation_enthalpy_0k_kj_per_mol_atoms": 34, "dos_ef_per_ev_fu": 3.55, "crystal_system": "tetragonal"}


No. 5
{"formula": "FeNi2W", "functional": "meta-GGA SCAN", "state": "single point on PBEsol structure", "lattice_angstrom": [[2.579, 0.000, 0.000], [0.000, 2.579, 0.000], [0.000, 0.000, 7.149]], "species": ["Fe", "Ni", "Ni", "W"], "fractional_positions": [[0.000, 0.000, 0.000], [0.000, 0.000, 0.460], [0.500, 0.500, 0.226], [0.500, 0.500, 0.720]], "formation_enthalpy_0k_kj_per_mol_atoms": 7, "dos_ef_per_ev_fu": 2.48, "crystal_system": "tetragonal"}


No. 6
{"formula": "LaBePd2", "functional": "meta-GGA SCAN", "state": "single point on PBEsol structure", "lattice_angstrom": [[-2.399, 2.399, 7.279], [2.399, -2.399, 7.279], [2.399, 2.399, -7.279]], "species": ["La", "La", "Be", "Be", "Pd", "Pd", "Pd", "Pd"], "fractional_positions": [[0.000, 0.000, 0.000], [0.750, 0.250, 0.500], [0.250, 0.750, 0.500], [0.500, 0.500, 0.000], [0.283, 0.625, 0.158], [0.375, 0.533, 0.658], [0.467, 0.125, 0.842], [0.875, 0.717, 0.342]], "formation_enthalpy_0k_kj_per_mol_atoms": -45, "dos_ef_per_ev_fu": 2.54, "crystal_system": "tetragonal"}


Listing magnetization for the structures above in their given order: 6.00, 0.97, 0.14, 0.00, 3.58, 0.00 μB/f.u..